This record from the Alexandria database describes crystalline VBSe3 at its relaxed geometry. The functional is GGA-PBE.

Geometry as CIF:
```
data_VBSe3
_chemical_formula_sum 'V2 B2 Se6'
_space_group_name_H-M_alt 'P 1'
_space_group_IT_number 1
_space_group_name_Hall 'P 1'
_cell_length_a 5.996
_cell_length_b 5.997
_cell_length_c 7.301
_cell_angle_alpha 65.75
_cell_angle_beta 65.79
_cell_angle_gamma 60.00
loop_
_atom_site_label
_atom_site_type_symbol
_atom_site_fract_x
_atom_site_fract_y
_atom_site_fract_z
Se1 Se 0.403 0.080 0.762
Se2 Se 0.245 0.596 0.238
Se3 Se 0.755 0.404 0.762
Se4 Se 0.597 0.920 0.238
Se5 Se 0.921 0.245 0.238
Se6 Se 0.079 0.755 0.762
B1 B 0.044 0.044 0.868
B2 B 0.956 0.956 0.132
V1 V 0.667 0.667 0.000
V2 V 0.333 0.333 0.000
```

The value obtained for the calculated volume is 200.2 Å³/cell. The energy above the most stable polymorph in this dataset is 0 meV/atom. For the raw formation energy, the calculation gives -405 meV per atom. For the density, the calculation gives 4.95 g/cm3.